1.
This record from Alexandria describes a relaxed Rb3CeHo2Te6 crystal. The functional is PBE-GGA.

Cell: 7.9258 7.9258 8.9496 Å, 98.49 98.49 120.01°
Fractional coordinates of all 12 atoms:
Rb (0.1645, 0.8355, 0.5000)
Rb (0.8355, 0.1645, 0.5000)
Rb (0.5000, 0.5000, 0.5000)
Ce (0.0000, 0.0000, 0.0000)
Ho (0.3331, 0.6669, 0.0000)
Ho (0.6669, 0.3331, 0.0000)
Te (0.9331, 0.5902, 0.7997)
Te (0.7236, 0.7236, 0.1997)
Te (0.0669, 0.4098, 0.2003)
Te (0.5902, 0.9331, 0.7997)
Te (0.2764, 0.2764, 0.8003)
Te (0.4098, 0.0669, 0.2003)

Values from the calculation:
Fermi-level density of states = 0.706 states/eV/atom


2.
This record from Alexandria describes a relaxed Pr2USe5 crystal. The functional is PBE-GGA.

Cell: 7.9139 8.4590 12.5603 Å, 90.00 90.00 90.00°
Fractional coordinates of all 32 atoms:
Pr (0.5246, 0.4986, 0.3220)
Pr (0.9754, 0.0014, 0.8220)
Pr (0.4754, 0.9986, 0.6780)
Pr (0.0246, 0.5014, 0.1780)
Pr (0.4754, 0.5014, 0.6780)
Pr (0.0246, 0.9986, 0.1780)
Pr (0.5246, 0.0014, 0.3220)
Pr (0.9754, 0.4986, 0.8220)
U (0.0709, 0.7500, 0.4922)
U (0.4291, 0.7500, 0.9922)
U (0.9291, 0.2500, 0.5078)
U (0.5709, 0.2500, 0.0078)
Se (0.8366, 0.9571, 0.5950)
Se (0.6634, 0.5429, 0.0950)
Se (0.1634, 0.4571, 0.4050)
Se (0.3366, 0.0429, 0.9050)
Se (0.1634, 0.0429, 0.4050)
Se (0.3366, 0.4571, 0.9050)
Se (0.8366, 0.5429, 0.5950)
Se (0.6634, 0.9571, 0.0950)
Se (0.8299, 0.7500, 0.3156)
Se (0.6701, 0.7500, 0.8156)
Se (0.1701, 0.2500, 0.6844)
Se (0.3299, 0.2500, 0.1844)
Se (0.4535, 0.7500, 0.4994)
Se (0.0465, 0.7500, 0.9994)
Se (0.5465, 0.2500, 0.5006)
Se (0.9535, 0.2500, 0.0006)
Se (0.1948, 0.7500, 0.7135)
Se (0.3052, 0.7500, 0.2135)
Se (0.8052, 0.2500, 0.2865)
Se (0.6948, 0.2500, 0.7865)

Values from the calculation:
energy above the lowest structure with this stoichiometry = 0.0 meV/atom
Fermi-level density of states = 0.796 states/eV/atom


Respective total moment values: 1.01 8.00 Bohr magnetons per cell.
Respective formation energy from raw total energies values: -1.358 -1.632 eV/atom.